(1)
! La2MnRh GGA-PBE relaxed; values from VASP
&SYSTEM
  ibrav = 0, nat = 4, ntyp = 3
/
ATOMIC_SPECIES
Mn 54.94 Mn.upf
Rh 102.91 Rh.upf
La 138.91 La.upf
CELL_PARAMETERS angstrom
-7.3772 0.4295 1.0295
-6.7587 0.0189 -3.1603
-6.6066 -3.4071 -0.6415
ATOMIC_POSITIONS crystal
Mn 0.4555 0.4555 0.4555
Rh 0.7950 0.7950 0.7950
La 0.2162 0.2162 0.2162
La 0.0334 0.0334 0.0334
! - calculated volume (Å³ per cell) = 110.46
! - crystal system = trigonal
! - space group = R3m
! - excess energy over the best structure of this formula in the dataset (kJ/mol of atoms) = 4.7
! - formation energy (kJ per mole of atoms) = -19.51

---

(2)
! Na3HO GGA-PBE relaxed; values from VASP
&SYSTEM
  ibrav = 0, nat = 10, ntyp = 3
/
ATOMIC_SPECIES
Na 22.99 Na.upf
H 1.01 H.upf
O 16.00 O.upf
CELL_PARAMETERS angstrom
3.4057 0.0000 0.0000
0.0000 6.4357 -0.6669
0.0000 0.0923 6.7507
ATOMIC_POSITIONS crystal
Na 0.7500 0.3224 0.1248
Na 0.7500 0.3778 0.6013
Na 0.7500 0.9871 0.3307
Na 0.2500 0.6222 0.3987
Na 0.2500 0.6776 0.8752
Na 0.2500 0.0129 0.6693
H 0.7500 0.6871 0.1333
H 0.2500 0.3129 0.8667
O 0.2500 0.2376 0.3778
O 0.7500 0.7624 0.6222
! - calculated volume (Å³ per cell) = 148.17
! - crystal system = monoclinic
! - space group = P2_1/m
! - excess energy over the best structure of this formula in the dataset (kJ/mol of atoms) = 0.0

---

(3)
! Cs3K5O2 GGA-PBE relaxed; values from VASP
&SYSTEM
  ibrav = 0, nat = 20, ntyp = 3
/
ATOMIC_SPECIES
O 16.00 O.upf
Cs 132.91 Cs.upf
K 39.10 K.upf
CELL_PARAMETERS angstrom
8.4442 0.0000 -2.8940
-1.6257 11.4154 -4.7435
-0.5700 -1.8608 12.1033
ATOMIC_POSITIONS crystal
O 0.6282 0.1276 0.2563
O 0.8718 0.8713 0.7437
O 0.3718 0.8724 0.7437
O 0.1282 0.1287 0.2563
Cs 0.1288 0.9119 0.2576
Cs 0.6288 0.3456 0.2576
Cs 0.8712 0.0881 0.7424
Cs 0.7500 0.0000 0.0000
Cs 0.3712 0.6544 0.7424
Cs 0.2500 0.0000 0.0000
K 0.1237 0.3291 0.2474
K 0.2500 0.5000 0.0000
K 0.8763 0.6709 0.7526
K 0.7500 0.5000 0.0000
K 0.3763 0.0817 0.7526
K 0.4585 0.2085 0.4171
K 0.5415 0.7915 0.5829
K 0.0415 0.7915 0.5829
K 0.9585 0.2085 0.4171
K 0.6237 0.9183 0.2474
! - calculated volume (Å³ per cell) = 1064.57
! - uncorrected formation energy (meV per atom) = -572
! - crystal system = orthorhombic
! - space group = Ibam